Here is a relaxed Pa2AuS2N2 crystal from the Alexandria database. Energies are from GGA-PBE.

Formation energy (no corrections) = -138.5 kJ per mole of atoms
Calculated density = 8.7 Mg/m³
E_tot = -57.221 eV/cell

a b c (Å): 3.901 3.901 10.883
angles (deg): 90.00 90.00 120.00
Last column: magnetic moment on the atom in μB.
Element x y z (fractional)
Pa: 0.667 0.333 0.368  0.18
Pa: 0.333 0.667 0.632  0.18
Au: 0.000 0.000 0.000  0.01
S: 0.000 0.000 0.787  -0.01
S: 0.000 0.000 0.213  -0.01
N: 0.667 0.333 0.576  -0.01
N: 0.333 0.667 0.424  -0.01

Here is a relaxed Zr2Al3Si3 crystal from the Alexandria database. Energies are from GGA-PBE.

Formation energy (no corrections) = -34.0 kJ per mole of atoms
Calculated density = 4.2 Mg/m³
Energy relative to the lowest polymorph listed for this composition = 0.00 eV/f.u.
E_tot = -94.823 eV/cell

a b c (Å): 7.380 5.137 7.491
angles (deg): 104.54 91.71 81.81
Element x y z (fractional)
Si: 0.083 0.260 0.527
Si: 0.917 0.740 0.473
Si: 0.526 0.809 0.352
Si: 0.474 0.191 0.648
Si: 0.963 0.183 0.137
Si: 0.037 0.817 0.863
Al: 0.316 0.256 0.264
Al: 0.684 0.744 0.736
Al: 0.418 0.759 0.985
Al: 0.582 0.241 0.015
Al: 0.171 0.775 0.250
Al: 0.829 0.225 0.750
Zr: 0.702 0.301 0.398
Zr: 0.298 0.699 0.602
Zr: 0.810 0.691 0.107
Zr: 0.190 0.309 0.893

Here is a relaxed MgAl2H2 crystal from the Alexandria database. Energies are from GGA-PBE.

Calculated density = 2.0 Mg/m³
E_tot = -28.014 eV/cell

a b c (Å): 6.846 6.846 2.780
angles (deg): 90.00 90.00 90.00
Element x y z (fractional)
H: 0.397 0.897 0.000
H: 0.897 0.603 0.000
H: 0.603 0.103 0.000
H: 0.103 0.397 0.000
Mg: 0.000 0.000 0.000
Mg: 0.500 0.500 0.000
Al: 0.134 0.634 0.500
Al: 0.634 0.866 0.500
Al: 0.866 0.366 0.500
Al: 0.366 0.134 0.500

Here is a relaxed InGaAgSn crystal from the Alexandria database. Energies are from GGA-PBE.

Calculated density = 7.5 Mg/m³
ΔE_f = 47.8 meV per atom
Energy relative to the lowest polymorph listed for this composition = 0.00 eV/f.u.
E_tot = -12.428 eV/cell

a b c (Å): 3.053 3.655 8.272
angles (deg): 91.11 98.87 89.48
Element x y z (fractional)
In: 0.455 0.932 0.879
Ga: 0.644 0.927 0.309
Ag: 0.053 0.430 0.114
Sn: 0.278 0.429 0.558

Here is a relaxed LaTm6Sc4 crystal from the Alexandria database. Energies are from GGA-PBE.

Calculated density = 6.5 Mg/m³
ΔE_f = 378.1 meV per atom
E_tot = -52.924 eV/cell

a b c (Å): 7.306 7.306 8.202
angles (deg): 116.45 116.45 90.00
Element x y z (fractional)
La: 0.500 0.500 0.000
Tm: 0.945 0.443 0.388
Tm: 0.443 0.945 0.388
Tm: 0.557 0.557 0.612
Tm: 0.000 0.500 0.000
Tm: 0.055 0.055 0.612
Tm: 0.500 0.000 0.000
Sc: 0.075 0.770 0.845
Sc: 0.925 0.925 0.155
Sc: 0.770 0.075 0.845
Sc: 0.230 0.230 0.155

Here is a relaxed Li2InCoRh crystal from the Alexandria database. Energies are from GGA-PBE.

Calculated density = 4.4 Mg/m³
ΔE_f = 994.0 meV per atom
E_tot = -16.054 eV/cell

a b c (Å): 4.723 4.915 4.723
angles (deg): 90.00 90.00 90.00
Last column: magnetic moment on the atom in μB.
Element x y z (fractional)
Co: 0.500 0.500 0.500  2.18
Li: 0.000 0.000 0.500  -0.01
Li: 0.500 0.000 0.000  -0.01
Rh: 0.000 0.500 0.000  0.12
In: 0.000 0.000 0.000  -0.01

Here is a relaxed CaMo3Se crystal from the Alexandria database. Energies are from GGA-PBE.

Formation energy (no corrections) = 83.4 kJ per mole of atoms
Calculated density = 6.4 Mg/m³
Energy relative to the lowest polymorph listed for this composition = 0.00 eV/f.u.
E_tot = -33.658 eV/cell

a b c (Å): 4.720 4.720 4.720
angles (deg): 90.00 90.00 90.00
Element x y z (fractional)
Mo: 0.000 0.500 0.000
Mo: 0.000 0.000 0.500
Mo: 0.500 0.000 0.000
Ca: 0.500 0.500 0.500
Se: 0.000 0.000 0.000

Here is a relaxed NaVTe3 crystal from the Alexandria database. Energies are from GGA-PBE.

Formation energy (no corrections) = -13.9 kJ per mole of atoms
Calculated density = 4.9 Mg/m³
Energy relative to the lowest polymorph listed for this composition = 1.26 eV/f.u.
E_tot = -20.581 eV/cell

a b c (Å): 5.357 5.357 5.357
angles (deg): 90.00 90.00 90.00
Last column: magnetic moment on the atom in μB.
Element x y z (fractional)
Na: 0.500 0.500 0.500  0.00
Te: 0.000 0.500 0.000  -0.12
Te: 0.000 0.000 0.500  -0.12
Te: 0.500 0.000 0.000  -0.12
V: 0.000 0.000 0.000  1.52

Copy entry 4 word for word.
Here is a relaxed InGaAgSn crystal from the Alexandria database. Energies are from GGA-PBE.

Calculated density = 7.5 Mg/m³
ΔE_f = 47.8 meV per atom
Energy relative to the lowest polymorph listed for this composition = 0.00 eV/f.u.
E_tot = -12.428 eV/cell

a b c (Å): 3.053 3.655 8.272
angles (deg): 91.11 98.87 89.48
Element x y z (fractional)
In: 0.455 0.932 0.879
Ga: 0.644 0.927 0.309
Ag: 0.053 0.430 0.114
Sn: 0.278 0.429 0.558